Record 1
This record from the Alexandria database describes an optimized crystal structure of Pm4MgTc. The functional is PBE.

Results
SG = C2/c
E_form = -24 meV/atom

Cell: 6.333 8.025 8.025 Å, 110.36 100.45 100.45°
Fractional positions:
Pm 0.552 0.272 0.939
Pm 0.052 0.939 0.272
Pm 0.377 0.804 0.637
Pm 0.448 0.728 0.061
Mg 0.750 0.621 0.379
Tc 0.250 0.000 0.000
Pm 0.948 0.061 0.728
Tc 0.750 0.000 0.000
Pm 0.623 0.196 0.363
Mg 0.250 0.379 0.621
Pm 0.123 0.363 0.196
Pm 0.877 0.637 0.804

Record 2
This record from the Alexandria database describes an optimized crystal structure of TaSi2Mo. The functional is PBE.

Results
SG = Cm
energy relative to the lowest polymorph listed for this composition = 158 meV/atom
formation energy from raw total energies = -0.230 eV/atom

Cell: 4.840 4.840 4.429 Å, 76.48 76.48 36.73°
Fractional positions:
Si 0.009 0.009 0.036
Mo 0.268 0.268 0.191
Ta 0.485 0.485 0.552
Si 0.738 0.738 0.720

Record 3
This record from the Alexandria database describes an optimized crystal structure of AlAg2Os. The functional is PBE.

Results
SG = P4/mmm
E_form = 282 meV/atom

Cell: 3.826 3.826 4.338 Å, 90.00 90.00 90.00°
Site moments in Bohr magnetons follow the coordinates.
Fractional positions:
Os 0.000 0.500 0.500  0.46
Ag 0.500 0.500 0.000  0.01
Ag 0.000 0.000 0.000  0.01
Al 0.500 0.000 0.500  -0.01

Record 4
This record from the Alexandria database describes an optimized crystal structure of Pr8NiPd3I4. The functional is PBE.

Results
SG = R-3m
formation energy from raw total energies = -0.814 eV/atom

Cell: 8.557 9.533 8.558 Å, 116.68 120.00 90.00°
Fractional positions:
Pr 0.224 0.686 0.963
Pr 0.776 0.314 0.553
Ni 0.000 0.500 0.000
Pd 0.500 0.500 0.000
Pr 0.270 0.310 0.540
Pr 0.776 0.314 0.037
I 0.000 0.000 0.000
Pr 0.739 0.686 0.963
Pd 0.500 0.500 0.500
Pr 0.261 0.314 0.037
Pd 0.000 0.500 0.500
I 0.000 0.000 0.500
Pr 0.730 0.690 0.460
I 0.500 0.000 0.500
I 0.500 0.000 0.000
Pr 0.224 0.686 0.447

| no. | VASP energy (eV/atom) |
| --- | --- |
| 1 | -5.1850 |
| 2 | -8.6122 |
| 3 | -4.8865 |
| 4 | -4.9261 |